! CoNi (GGA-PBE, optimized geometry); values from VASP
&SYSTEM
  ibrav = 0, nat = 24, ntyp = 2
/
ATOMIC_SPECIES
Co 58.93 Co.upf
Ni 58.69 Ni.upf
ATOMIC_POSITIONS crystal
Co 0.679 0.839 0.250
Co 0.161 0.839 0.250
Co 0.839 0.161 0.750
Co 0.500 0.500 0.500
Co 0.000 0.500 0.000
Co 0.500 0.500 0.000
Co 0.500 0.000 0.500
Co 0.000 0.500 0.500
Co 0.161 0.321 0.250
Co 0.500 0.000 0.000
Co 0.839 0.679 0.750
Co 0.321 0.161 0.750
Ni 0.667 0.333 0.873
Ni 0.333 0.667 0.127
Ni 0.000 0.000 0.587
Ni 0.333 0.667 0.373
Ni 0.333 0.667 0.842
Ni 0.000 0.000 0.087
Ni 0.333 0.667 0.658
Ni 0.000 0.000 0.413
Ni 0.667 0.333 0.158
Ni 0.667 0.333 0.627
Ni 0.667 0.333 0.342
Ni 0.000 0.000 0.913
CELL_PARAMETERS angstrom
4.583 0.000 0.000
-2.292 3.969 0.000
0.000 0.000 15.022
! Total moment: 1.161 μB per atom
! Formation enthalpy at 0 K: 0.21 eV per atom
! Total energy: -12.3 eV per formula unit
! Symmetry: P6_3/mmc, No. 194

=====

! BaNdHg (GGA-PBE, optimized geometry); values from VASP
&SYSTEM
  ibrav = 0, nat = 3, ntyp = 3
/
ATOMIC_SPECIES
Nd 144.24 Nd.upf
Ba 137.33 Ba.upf
Hg 200.59 Hg.upf
ATOMIC_POSITIONS crystal
Nd 0.750 0.750 0.750
Ba 0.000 0.000 0.000
Hg 0.250 0.250 0.250
CELL_PARAMETERS angstrom
-4.532 -0.154 2.922
-1.366 4.211 3.082
-4.199 3.096 -1.371
! Total moment: 0.001 μB per atom
! Total energy: -5.8 eV per formula unit
! Symmetry: F-43m, No. 216

=====

Question: total moment of number 1 (CoNi)?
Answer: 1.161 μB per atom